Here is a relaxed TaMn3F crystal from Alexandria via LeMat-Bulk. Energies are from GGA+U.

a = 4.424 Å, b = 4.424 Å, c = 4.424 Å
α = 90.00°, β = 90.00°, γ = 90.00°
Atoms (fractional coordinates):
Ta  0.000  0.000  0.000
Mn  0.000  0.500  0.500
Mn  0.500  0.000  0.500
Mn  0.500  0.500  0.000
F  0.500  0.500  0.500

Summary:
N(E_F) = 0.607 states/eV per atom
size of the total moment = 2.348 μB per atom
symmetry = Pm-3m
ΔE to the lowest computed polymorph = 0 meV per atom
ρ = 7.00 Mg/m³

---

Here is a relaxed Ta3MnF crystal from Alexandria via LeMat-Bulk. Energies are from GGA+U.

a = 4.344 Å, b = 4.344 Å, c = 4.344 Å
α = 90.00°, β = 90.00°, γ = 90.00°
Atoms (fractional coordinates):
Ta  0.000  0.000  0.500
Ta  0.000  0.500  0.000
Ta  0.500  0.000  0.000
Mn  0.500  0.500  0.500
F  0.000  0.000  0.000

Summary:
N(E_F) = 0.719 states/eV per atom
size of the total moment = 0.830 μB per atom
symmetry = Pm-3m
ΔE to the lowest computed polymorph = 0 meV per atom
ρ = 12.49 Mg/m³

---

Here is a relaxed Ta3MnF crystal from Alexandria via LeMat-Bulk. Energies are from GGA+U.

a = 4.605 Å, b = 4.605 Å, c = 4.605 Å
α = 90.00°, β = 90.00°, γ = 90.00°
Atoms (fractional coordinates):
Ta  0.000  0.000  0.500
Ta  0.000  0.500  0.000
Ta  0.500  0.000  0.000
Mn  0.000  0.000  0.000
F  0.500  0.500  0.500

Summary:
N(E_F) = 1.249 states/eV per atom
size of the total moment = 0.000 μB per atom
symmetry = Pm-3m
ΔE to the lowest computed polymorph = 1049 meV per atom
ρ = 10.49 Mg/m³

---

Here is a relaxed TaMnVF2 crystal from Alexandria via LeMat-Bulk. Energies are from GGA+U.

a = 3.894 Å, b = 3.894 Å, c = 5.887 Å
α = 90.00°, β = 90.00°, γ = 90.00°
Atoms (fractional coordinates):
Ta  0.000  0.000  0.000
Mn  0.500  0.500  0.000
V  0.000  0.000  0.500
F  0.000  0.500  0.500
F  0.500  0.000  0.500

Summary:
N(E_F) = 1.017 states/eV per atom
size of the total moment = 0.472 μB per atom
symmetry = P4/mmm
uncorrected energy = -6.268 eV per atom
ρ = 6.04 Mg/m³

---

Here is a relaxed Ta2MnVF crystal from Alexandria via LeMat-Bulk. Energies are from GGA+U.

a = 4.946 Å, b = 4.946 Å, c = 3.778 Å
α = 90.00°, β = 90.00°, γ = 90.00°
Atoms (fractional coordinates):
Ta  0.000  0.500  0.000
Ta  0.500  0.000  0.000
Mn  0.000  0.000  0.500
V  0.500  0.500  0.000
F  0.500  0.500  0.500

Summary:
N(E_F) = 1.072 states/eV per atom
size of the total moment = 1.016 μB per atom
symmetry = P4/mmm
uncorrected energy = -7.104 eV per atom
ρ = 8.74 Mg/m³

---

Here is a relaxed YTaMn2F crystal from Alexandria via LeMat-Bulk. Energies are from GGA+U.

a = 4.618 Å, b = 4.618 Å, c = 4.544 Å
α = 90.00°, β = 90.00°, γ = 90.00°
Atoms (fractional coordinates):
Y  0.000  0.000  0.000
Ta  0.500  0.500  0.000
Mn  0.000  0.500  0.500
Mn  0.500  0.000  0.500
F  0.000  0.000  0.500

Summary:
N(E_F) = 0.515 states/eV per atom
size of the total moment = 1.485 μB per atom
symmetry = P4/mmm
uncorrected energy = -7.191 eV per atom
ρ = 6.83 Mg/m³

---

Here is a relaxed TaMn2ZnF crystal from Alexandria via LeMat-Bulk. Energies are from GGA+U.

a = 5.225 Å, b = 5.225 Å, c = 5.186 Å
α = 90.00°, β = 90.00°, γ = 90.00°
Atoms (fractional coordinates):
Ta  0.000  0.000  0.000
Mn  0.000  0.500  0.000
Mn  0.500  0.000  0.000
Zn  0.000  0.000  0.500
F  0.500  0.500  0.500

Summary:
N(E_F) = 0.399 states/eV per atom
size of the total moment = 1.227 μB per atom
symmetry = P4/mmm
uncorrected energy = -4.891 eV per atom
ρ = 4.40 Mg/m³

---

Here is a relaxed TbMnF5 crystal from Alexandria via LeMat-Bulk. Energies are from GGA+U.

a = 5.784 Å, b = 5.784 Å, c = 7.712 Å
α = 109.13°, β = 109.13°, γ = 73.57°
Atoms (fractional coordinates):
Tb  0.050  0.950  0.750
Tb  0.950  0.050  0.250
Mn  0.500  0.500  0.000
Mn  0.500  0.500  0.500
F  0.173  0.810  0.037
F  0.190  0.827  0.463
F  0.229  0.281  0.372
F  0.281  0.229  0.872
F  0.377  0.623  0.750
F  0.623  0.377  0.250
F  0.719  0.771  0.128
F  0.771  0.719  0.628
F  0.810  0.173  0.537
F  0.827  0.190  0.963

Summary:
N(E_F) = 0.000 states/eV per atom
size of the total moment = 0.714 μB per atom
symmetry = C2/c
uncorrected energy = -6.561 eV per atom
ρ = 4.54 Mg/m³